A plane-wave DFT calculation with PBE-GGA was carried out for a relaxed structure of YAlAu2.

abc: 3.632 3.630 6.308
angles: 90.00 90.00 90.00
Fractional positions:
Y 0.000 0.000 0.479
Au 0.000 0.000 0.957
Au 0.500 0.500 0.243
Al 0.500 0.500 0.821

Summary:
ΔE_f = -544 meV/atom
symmetry = P4mm, No. 99
calculated density = 10.2 g cm⁻³
energy = -4.73 eV/atom
density of states at the Fermi level = 1.5 states/eV/cell
crystal system = tetragonal


A plane-wave DFT calculation with PBE-GGA was carried out for a relaxed structure of CuNi2Mo.

abc: 4.490 4.490 2.593
angles: 89.99 89.99 107.50
Fractional positions:
Cu 0.500 0.000 0.500
Mo 0.000 0.500 0.500
Ni 0.000 0.000 0.000
Ni 0.500 0.500 0.000

Summary:
ΔE_f = 121 meV/atom
symmetry = Cmmm, No. 65
calculated density = 9.2 g cm⁻³
energy above the most stable polymorph in this dataset = 49 kJ/mol of formula units
energy = -6.50 eV/atom
density of states at the Fermi level = 3.7 states/eV/cell
crystal system = orthorhombic


A plane-wave DFT calculation with PBE-GGA was carried out for a relaxed structure of BaHf3Si.

abc: 5.137 5.137 5.137
angles: 90.00 90.00 90.00
Fractional positions:
Si 0.000 0.000 0.000
Hf 0.000 0.500 0.000
Hf 0.000 0.000 0.500
Hf 0.500 0.000 0.000
Ba 0.500 0.500 0.500

Summary:
symmetry = Pm-3m, No. 221
calculated density = 8.6 g cm⁻³
E_form (uncorrected) = 0.444 eV/atom
energy above the most stable polymorph in this dataset = 0 kJ/mol of formula units
energy = -7.00 eV/atom
density of states at the Fermi level = 6.7 states/eV/cell
crystal system = cubic